40
Lattice="7.2000 0.0000 0.0000 0.0000 7.1950 0.0000 0.0000 0.0000 9.9546" Properties=species:S:1:pos:R:3 comment="LiVSO4F3 | Alexandria | SCAN | PBEsol geometry" space_group="Pna2_1, No. 33" e_form_raw_kcal_per_mol_atoms=-53.605 energy_ev_per_cell=-353.2 pbc="T T T"
Li 0.9029 0.8331 0.0000
Li 2.6970 4.4306 4.9773
Li 4.5029 2.7644 0.0000
Li 6.2970 6.3619 4.9773
V 0.0828 1.6911 7.0932
V 3.5171 5.2886 2.1159
V 3.6828 1.9064 7.0932
V 7.1171 5.5039 2.1159
S 1.4889 2.8284 2.3497
S 2.1111 6.4259 7.3270
S 5.0889 0.7691 2.3497
S 5.7111 4.3666 7.3270
O 0.5175 3.8293 1.6527
O 0.8211 2.2068 3.4484
O 0.9813 0.1011 7.8825
O 1.6373 5.5672 6.2541
O 1.9627 1.9697 1.2768
O 2.6186 3.6986 2.9052
O 2.7788 5.8043 8.4258
O 3.0825 0.2318 6.6301
O 4.1175 6.9633 1.6527
O 4.4211 1.3907 3.4484
O 4.5813 3.4964 7.8825
O 5.2372 5.2253 6.2541
O 5.5627 1.6278 1.2768
O 6.2186 7.0939 2.9052
O 6.3788 4.9882 8.4258
O 6.6825 3.3658 6.6301
F 0.0925 0.7765 5.5663
F 0.1620 5.1664 3.8819
F 1.7898 6.0775 2.0928
F 1.8102 2.4800 7.0701
F 3.4379 1.5689 8.8593
F 3.5074 4.3740 0.5889
F 3.6925 2.8210 5.5663
F 3.7620 5.6261 3.8819
F 5.3898 4.7150 2.0928
F 5.4102 1.1175 7.0701
F 7.0379 2.0286 8.8593
F 7.1074 6.4185 0.5889